1.
An optimized crystal structure of KNaFe2Se, computed with PBE.

## Properties
DOS(E_F): 1.24 states/eV per atom
Energy relative to the elements, uncorrected: 1696 meV/atom

abc: 4.871 4.871 5.322
angles: 90.00 90.00 90.00
Space group P4/mmm (No. 123)
Asymmetric unit:
K  0.000  0.000  0.000
Na  0.000  0.000  0.500
Fe  0.000  0.500  0.000
Se  0.500  0.500  0.500


2.
An optimized crystal structure of KNa2TaFe, computed with PBE.

## Properties
Calculated formation energy: 208 kJ per mole of atoms
DOS(E_F): 1.46 states/eV per atom

abc: 5.039 5.039 4.987
angles: 90.00 90.00 90.00
Space group P4/mmm (No. 123)
Asymmetric unit:
K  0.000  0.000  0.000
Na  0.000  0.500  0.500
Ta  0.500  0.500  0.000
Fe  0.000  0.000  0.500


3.
An optimized crystal structure of KNaFeW2, computed with PBE.

## Properties
Calculated formation energy: 139 kJ per mole of atoms
DOS(E_F): 1.16 states/eV per atom

abc: 4.493 4.493 5.781
angles: 90.00 90.00 90.00
Space group P4/mmm (No. 123)
Asymmetric unit:
K  0.000  0.000  0.000
Na  0.500  0.500  0.000
Fe  0.500  0.500  0.500
W  0.000  0.500  0.500


4.
An optimized crystal structure of K2Nb2Fe, computed with PBE.

## Properties
Calculated formation energy: 119 kJ per mole of atoms
DOS(E_F): 1.06 states/eV per atom
ΔE to the lowest computed polymorph: 0.0000 eV per atom

abc: 3.671 3.671 23.534
angles: 90.00 90.00 90.00
Space group I4/mmm (No. 139)
Asymmetric unit:
K  0.000  0.000  0.105
Nb  0.000  0.500  0.250
Fe  0.000  0.000  0.500